First-principles (PBE) data for a relaxed Pm4Pr2Sm2Dy crystal, as listed in Alexandria via LeMat-Bulk.

a b c (Å): 3.680 9.714 9.788
angles (deg): 115.10 90.00 100.92
Fractional positions:
1 Sm 0.147 0.295 0.666
2 Pr 0.665 0.331 0.999
3 Pm 0.482 0.963 0.668
4 Pm 0.518 0.037 0.332
5 Sm 0.853 0.705 0.334
6 Pr 0.335 0.669 0.001
7 Pm 0.185 0.371 0.333
8 Dy 0.000 0.000 0.000
9 Pm 0.815 0.629 0.667

Computed properties:
As for the space-group type: No. 12. The formation energy is 0.082 eV per formula unit. The calculation puts the calculated volume at 34.42 Å³ per atom. As for the crystal system: monoclinic. The calculation puts the uncorrected energy at -4.72 eV per atom. The value obtained for the spin magnetization is 0.00 Bohr magnetons per cell.